Pr4Sm2Tl | PBE | relaxed

Unit cell a=17.0043 b=3.6161 c=8.8387 alpha=90.00 beta=117.07 gamma=90.00
Last column: nearest neighbours and their distance in Å.
Atoms (fractional coordinates):
Pr: 0.0804 0.0000 0.2069  7 Pr 3.43-3.81, 1 Tl 3.44, 3 Sm 3.45-3.58
Pr: 0.1358 0.5000 0.9008  8 Pr 3.62-3.90, 3 Sm 3.65-3.68, 2 Tl 3.70
Pr: 0.3642 0.0000 0.0992  8 Pr 3.62-3.90, 3 Sm 3.65-3.68, 2 Tl 3.70
Pr: 0.4196 0.5000 0.7931  7 Pr 3.43-3.81, 1 Tl 3.44, 3 Sm 3.45-3.58
Pr: 0.5804 0.5000 0.2069  7 Pr 3.43-3.81, 1 Tl 3.44, 3 Sm 3.45-3.58
Pr: 0.6358 0.0000 0.9008  8 Pr 3.62-3.90, 3 Sm 3.65-3.68, 2 Tl 3.70
Pr: 0.8642 0.5000 0.0992  8 Pr 3.62-3.90, 3 Sm 3.65-3.68, 2 Tl 3.70
Pr: 0.9196 0.0000 0.7931  7 Pr 3.43-3.81, 1 Tl 3.44, 3 Sm 3.45-3.58
Sm: 0.2163 0.0000 0.6398  1 Tl 3.30, 6 Pr 3.45-3.68, 4 Sm 3.62-3.64
Sm: 0.2837 0.5000 0.3602  1 Tl 3.30, 6 Pr 3.45-3.68, 4 Sm 3.62-3.64
Sm: 0.7163 0.5000 0.6398  1 Tl 3.30, 6 Pr 3.45-3.68, 4 Sm 3.62-3.64
Sm: 0.7837 0.0000 0.3602  1 Tl 3.30, 6 Pr 3.45-3.68, 4 Sm 3.62-3.64
Tl: 0.0000 0.0000 0.5000  2 Sm 3.30, 2 Pr 3.44, 2 Tl 3.62
Tl: 0.5000 0.5000 0.5000  2 Sm 3.30, 2 Pr 3.44, 2 Tl 3.62

Computed properties:
E_tot = -61.97 eV per cell
total moment = 0.0 μB/f.u.
DFT formation energy = -0.1 eV/f.u.